Entry 1:
DFT (PBE) results for crystalline PmCuGeO4 at its relaxed geometry.

Unit cell a=6.3929 b=6.3929 c=6.3929 alpha=124.52 beta=103.18 gamma=101.84
Closest atoms and distances in Å follow each position.
Positions (direct):
Pm: 0.0000 0.0000 0.0000  6 O 2.33-2.46
Pm: 0.5000 0.0000 0.5000  6 O 2.33-2.46
Cu: 0.5000 0.0000 0.0000  2 O 1.86
Cu: 0.5000 0.5000 0.5000  2 O 1.86
Ge: 0.1414 0.3914 0.7500  4 O 1.74-1.84
Ge: 0.8586 0.6086 0.2500  4 O 1.74-1.84
O: 0.1565 0.7167 0.4398  1 Ge 1.74
O: 0.2231 0.2833 0.9398  1 Ge 1.74
O: 0.2693 0.2630 0.4937  1 Ge 1.84, 1 Cu 1.86
O: 0.2693 0.7756 0.0063  1 Ge 1.84, 1 Cu 1.86
O: 0.7307 0.2244 0.9937  1 Ge 1.84, 1 Cu 1.86
O: 0.7307 0.7370 0.5063  1 Ge 1.84, 1 Cu 1.86
O: 0.7769 0.7167 0.0602  1 Ge 1.74
O: 0.8435 0.2833 0.5602  1 Ge 1.74

Calculated values
Fermi-level density of states   0.00 states/eV per cell
Formation energy from raw total energies   -1.961 eV/atom

=====

Entry 2:
DFT (PBE) results for crystalline CoAs2S at its relaxed geometry.

Unit cell a=5.4976 b=5.4976 c=10.9534 alpha=90.00 beta=90.00 gamma=90.00
Closest atoms and distances in Å follow each position.
Positions (direct):
Co: 0.0000 0.0000 0.0000  4 As 2.22
Co: 0.0000 0.5000 0.2500  4 As 2.22
Co: 0.5000 0.0000 0.7500  4 As 2.22
Co: 0.5000 0.5000 0.5000  4 As 2.22
As: 0.1959 0.2500 0.1250  2 Co 2.22
As: 0.2500 0.6959 0.3750  2 Co 2.22
As: 0.2500 0.8041 0.8750  2 Co 2.22
As: 0.3041 0.2500 0.6250  2 Co 2.22
As: 0.6959 0.7500 0.6250  2 Co 2.22
As: 0.7500 0.1959 0.8750  2 Co 2.22
As: 0.7500 0.3041 0.3750  2 Co 2.22
As: 0.8041 0.7500 0.1250  2 Co 2.22
S: 0.0000 0.0000 0.5000  4 As 2.56
S: 0.0000 0.5000 0.7500  4 As 2.56
S: 0.5000 0.0000 0.2500  4 As 2.56
S: 0.5000 0.5000 0.0000  4 As 2.56

Calculated values
Fermi-level density of states   12.04 states/eV per cell
Formation energy from raw total energies   0.144 eV/atom

=====

Entry 3:
DFT (PBE) results for crystalline Cs2SnGe at its relaxed geometry.

Unit cell a=9.0442 b=9.0442 c=9.0442 alpha=90.00 beta=90.00 gamma=90.00
Closest atoms and distances in Å follow each position.
Positions (direct):
Cs: 0.2500 0.2500 0.2500  4 Ge 3.92, 4 Sn 3.92
Cs: 0.2500 0.2500 0.7500  4 Ge 3.92, 4 Sn 3.92
Cs: 0.2500 0.7500 0.2500  4 Ge 3.92, 4 Sn 3.92
Cs: 0.2500 0.7500 0.7500  4 Ge 3.92, 4 Sn 3.92
Cs: 0.7500 0.2500 0.2500  4 Ge 3.92, 4 Sn 3.92
Cs: 0.7500 0.2500 0.7500  4 Ge 3.92, 4 Sn 3.92
Cs: 0.7500 0.7500 0.2500  4 Ge 3.92, 4 Sn 3.92
Cs: 0.7500 0.7500 0.7500  4 Ge 3.92, 4 Sn 3.92
Sn: 0.0000 0.0000 0.0000  8 Cs 3.92
Sn: 0.0000 0.5000 0.5000  8 Cs 3.92
Sn: 0.5000 0.0000 0.5000  8 Cs 3.92
Sn: 0.5000 0.5000 0.0000  8 Cs 3.92
Ge: 0.0000 0.0000 0.5000  8 Cs 3.92
Ge: 0.0000 0.5000 0.0000  8 Cs 3.92
Ge: 0.5000 0.0000 0.0000  8 Cs 3.92
Ge: 0.5000 0.5000 0.5000  8 Cs 3.92

Calculated values
Offset from the most stable computed form   0.494 eV/atom
Fermi-level density of states   0.00 states/eV per cell
E_form   8.0 kcal/mol of atoms

=====

Entry 4:
DFT (PBE) results for crystalline Ta2Ni at its relaxed geometry.

Unit cell a=2.8060 b=2.8060 c=12.0198 alpha=90.00 beta=90.00 gamma=90.00
Closest atoms and distances in Å follow each position.
Positions (direct):
Ta: 0.0000 0.0000 0.1536  4 Ni 2.71, 4 Ta 2.81
Ta: 0.0000 0.0000 0.8464  4 Ni 2.71, 4 Ta 2.81
Ta: 0.5000 0.5000 0.3464  4 Ni 2.71, 4 Ta 2.81
Ta: 0.5000 0.5000 0.6536  4 Ni 2.71, 4 Ta 2.81
Ni: 0.0000 0.0000 0.5000  8 Ta 2.71, 4 Ni 2.81
Ni: 0.5000 0.5000 0.0000  8 Ta 2.71, 4 Ni 2.81

Calculated values
Fermi-level density of states   6.72 states/eV per cell
E_form   -2.3 kcal/mol of atoms

=====

Entry 5:
DFT (PBE) results for crystalline RbSe2S2 at its relaxed geometry.

Unit cell a=11.4245 b=10.5883 c=6.6636 alpha=79.38 beta=65.64 gamma=34.98
Closest atoms and distances in Å follow each position.
Positions (direct):
Rb: 0.1250 0.1250 0.1250  4 S 3.49, 2 Se 3.79
Rb: 0.8750 0.8750 0.8750  4 S 3.49, 2 Se 3.79
Se: 0.2133 0.5367 0.2133  2 S 2.30
Se: 0.4633 0.7867 0.4633  2 S 2.30
Se: 0.5367 0.2133 0.5367  2 S 2.30
Se: 0.7867 0.4633 0.7867  2 S 2.30
S: 0.1772 0.1772 0.5728  2 Se 2.30
S: 0.4272 0.4272 0.8228  2 Se 2.30
S: 0.5728 0.5728 0.1772  2 Se 2.30
S: 0.8228 0.8228 0.4272  2 Se 2.30

Calculated values
Offset from the most stable computed form   0.033 eV/atom
Fermi-level density of states   2.05 states/eV per cell
Formation energy from raw total energies   -0.276 eV/atom

=====

Entry 6:
DFT (PBE) results for crystalline Ni3CBr at its relaxed geometry.

Unit cell a=3.9131 b=3.9131 c=3.9131 alpha=90.00 beta=90.00 gamma=90.00
Closest atoms and distances in Å follow each position.
Positions (direct):
Ni: 0.0000 0.0000 0.5000  2 C 1.96
Ni: 0.0000 0.5000 0.0000  2 C 1.96
Ni: 0.5000 0.0000 0.0000  2 C 1.96
C: 0.0000 0.0000 0.0000  6 Ni 1.96
Br: 0.5000 0.5000 0.5000  12 Ni 2.77

Calculated values
Fermi-level density of states   2.89 states/eV per cell
Formation energy from raw total energies   0.448 eV/atom

=====

What did the first record say?
DFT (PBE) results for crystalline PmCuGeO4 at its relaxed geometry.

Unit cell a=6.3929 b=6.3929 c=6.3929 alpha=124.52 beta=103.18 gamma=101.84
Closest atoms and distances in Å follow each position.
Positions (direct):
Pm: 0.0000 0.0000 0.0000  6 O 2.33-2.46
Pm: 0.5000 0.0000 0.5000  6 O 2.33-2.46
Cu: 0.5000 0.0000 0.0000  2 O 1.86
Cu: 0.5000 0.5000 0.5000  2 O 1.86
Ge: 0.1414 0.3914 0.7500  4 O 1.74-1.84
Ge: 0.8586 0.6086 0.2500  4 O 1.74-1.84
O: 0.1565 0.7167 0.4398  1 Ge 1.74
O: 0.2231 0.2833 0.9398  1 Ge 1.74
O: 0.2693 0.2630 0.4937  1 Ge 1.84, 1 Cu 1.86
O: 0.2693 0.7756 0.0063  1 Ge 1.84, 1 Cu 1.86
O: 0.7307 0.2244 0.9937  1 Ge 1.84, 1 Cu 1.86
O: 0.7307 0.7370 0.5063  1 Ge 1.84, 1 Cu 1.86
O: 0.7769 0.7167 0.0602  1 Ge 1.74
O: 0.8435 0.2833 0.5602  1 Ge 1.74

Calculated values
Fermi-level density of states   0.00 states/eV per cell
Formation energy from raw total energies   -1.961 eV/atom

=====

Question: The highest Fermi-level density of states belongs to which entry?
Answer: CoAs2S

=====

Question: Which value of Fermi-level density of states does entry 6 give?
Answer: 2.89 states/eV per cell